Record 1
DFT (PBE) results for an optimized crystal structure of BaCoOs2.

## Properties
The crystal system is cubic. The calculation puts the electronic total energy at -6.45 eV per atom.

Cell: 6.6330 6.6330 6.6330 Å, 90.00 90.00 90.00°
With the nearest neighbours (Å) after each atom.
Space group F-43m (No. 216)
Inequivalent atoms, fractional coordinates:
Ba (0.0000, 0.0000, 0.0000) x4  4 Co 2.87, 4 Os 2.87
Co (0.2500, 0.2500, 0.2500) x4  4 Os 2.87, 4 Ba 2.87
Os (0.0000, 0.0000, 0.5000) x4  4 Os 2.87, 4 Co 2.87
Os (0.2500, 0.2500, 0.7500) x4  4 Ba 2.87, 4 Os 2.87

***

Record 2
DFT (PBE) results for an optimized crystal structure of BeReIr.

## Properties
The crystal system is cubic. The calculation puts the energy above the most stable polymorph in this dataset at 0.0 meV per atom.

Cell: 5.6787 5.6787 5.6787 Å, 90.00 90.00 90.00°
With the nearest neighbours (Å) after each atom.
Space group F-43m (No. 216)
Inequivalent atoms, fractional coordinates:
Be (0.0000, 0.0000, 0.0000) x4  4 Ir 2.46
Re (0.0000, 0.0000, 0.5000) x4  4 Ir 2.46
Ir (0.2500, 0.2500, 0.2500) x4  4 Re 2.46, 4 Be 2.46